Density functional theory data (PBE) for La2CdCu after structural relaxation.

Summary:
**Density of states at the Fermi level**: 0.88 states/eV/atom
**E_form**: -164 meV per atom

Cell lengths 3.7358, 5.1490, 11.0725 Å; angles 90.00, 90.00, 90.00 degrees
With the nearest neighbours (Å) after each atom.
Space group Imm2 (No. 44)
Asymmetric unit:
La1 0.0000 0.0000 0.0000 x2  2 Cu 3.17, 4 Cd 3.33, 2 La 3.38
La2 0.0000 0.5000 0.1981 x2  4 Cu 3.20, 2 La 3.38, 2 Cd 3.50
Cd1 0.0000 0.0000 0.4125 x2  2 Cu 2.75
Cu1 0.0000 0.5000 0.7308 x2  2 Cd 2.75